Here is an optimized crystal structure of Ga2FeCoAu from Alexandria. Energies are from PBE-GGA.

Results
DFT formation energy (kcal/mol of atoms): 24.5
Total magnetic moment (μB/f.u.): 5.3
D(E_F) (states/eV/f.u.): 7.81

abc: 4.747 4.747 4.960
angles: 90.00 90.00 90.00
Space group P4/mmm (No. 123)
Unique sites:
Ga1 0.000 0.500 0.000 [2 per cell]
Fe1 0.000 0.000 0.500 [1 per cell]
Co1 0.500 0.500 0.500 [1 per cell]
Au1 0.000 0.000 0.000 [1 per cell]